[1]
A relaxed NaFeAgP crystal, computed with PBE-GGA.

Output
ΔH_f (0 K)	-0.278	eV/atom

a b c (Å): 3.791 3.791 10.474
angles (deg): 90.00 90.00 90.00
Space group P4/nmm (No. 129, origin choice 2)
Inequivalent atoms, fractional coordinates:
Na 0.250 0.250 0.249 [2 per cell]
Fe 0.250 0.750 0.000 [2 per cell]
Ag 0.250 0.750 0.500 [2 per cell]
P 0.250 0.250 0.893 [2 per cell]

[2]
A relaxed Na2FeAgP crystal, computed with PBE-GGA.

Output
ΔH_f (0 K)	1.070	eV/atom

a b c (Å): 5.275 5.275 4.857
angles (deg): 90.00 90.00 90.00
Space group P4/mmm (No. 123)
Inequivalent atoms, fractional coordinates:
Na 0.000 0.500 0.000 [2 per cell]
Fe 0.000 0.000 0.000 [1 per cell]
Ag 0.000 0.000 0.500 [1 per cell]
P 0.500 0.500 0.500 [1 per cell]

[3]
A relaxed NaFe2AgPb crystal, computed with PBE-GGA.

Output
ΔH_f (0 K)	1.018	eV/atom

a b c (Å): 4.876 4.876 5.037
angles (deg): 90.00 90.00 90.00
Space group P4/mmm (No. 123)
Inequivalent atoms, fractional coordinates:
Na 0.000 0.000 0.000 [1 per cell]
Fe 0.000 0.500 0.500 [2 per cell]
Ag 0.000 0.000 0.500 [1 per cell]
Pb 0.500 0.500 0.000 [1 per cell]

[4]
A relaxed NaFeAgRh2 crystal, computed with PBE-GGA.

Output
ΔH_f (0 K)	1.950	eV/atom

a b c (Å): 4.536 4.536 4.469
angles (deg): 90.00 90.00 90.00
Space group P4/mmm (No. 123)
Inequivalent atoms, fractional coordinates:
Na 0.000 0.000 0.000 [1 per cell]
Fe 0.500 0.500 0.500 [1 per cell]
Ag 0.000 0.000 0.500 [1 per cell]
Rh 0.000 0.500 0.000 [2 per cell]

[5]
A relaxed Na2FeAgS crystal, computed with PBE-GGA.

Output
E_tot	-15.0	eV/cell

a b c (Å): 5.144 5.144 4.791
angles (deg): 90.00 90.00 90.00
Space group P4/mmm (No. 123)
Inequivalent atoms, fractional coordinates:
Na 0.000 0.500 0.000 [2 per cell]
Fe 0.000 0.000 0.500 [1 per cell]
Ag 0.000 0.000 0.000 [1 per cell]
S 0.500 0.500 0.500 [1 per cell]

[6]
A relaxed NaSr2FeAg crystal, computed with PBE-GGA.

Output
ΔH_f (0 K)	0.924	eV/atom

a b c (Å): 6.181 6.181 4.887
angles (deg): 90.00 90.00 90.00
Space group P4/mmm (No. 123)
Inequivalent atoms, fractional coordinates:
Na 0.000 0.000 0.000 [1 per cell]
Sr 0.000 0.500 0.000 [2 per cell]
Fe 0.500 0.500 0.500 [1 per cell]
Ag 0.000 0.000 0.500 [1 per cell]